(1)
Entry from Alexandria via LeMat-Bulk: crystalline RbNa2InPd at its relaxed geometry (PBE-GGA).

Calculated values
E   -2.440 eV per atom
Total moment   0.00 μB/f.u.
Calculated formation energy   -0.67 eV/f.u.

Structure (CIF):
```
data_RbNa2InPd
_cell_length_a 5.708
_cell_length_b 5.708
_cell_length_c 5.248
_cell_angle_alpha 90.00
_cell_angle_beta 90.00
_cell_angle_gamma 90.00
_symmetry_space_group_name_H-M 'P 4/m m m'
_symmetry_Int_Tables_number 123
_symmetry_space_group_name_Hall '-P 4 2'
loop_
_atom_site_label
_atom_site_type_symbol
_atom_site_fract_x
_atom_site_fract_y
_atom_site_fract_z
_atom_site_occupancy
Rb1 Rb 0.000 0.000 0.000 1
Na1 Na 0.000 0.500 0.500 1
In1 In 0.500 0.500 0.000 1
Pd1 Pd 0.500 0.500 0.500 1
```

(2)
Entry from Alexandria via LeMat-Bulk: crystalline NaInPdRh at its relaxed geometry (PBE-GGA).

Calculated values
E   -4.360 eV per atom
Total moment   0.00 μB/f.u.
Calculated formation energy   -0.84 eV/f.u.

Structure (CIF):
```
data_NaInPdRh
_cell_length_a 6.487
_cell_length_b 6.487
_cell_length_c 6.487
_cell_angle_alpha 90.00
_cell_angle_beta 90.00
_cell_angle_gamma 90.00
_symmetry_space_group_name_H-M 'F -4 3 m'
_symmetry_Int_Tables_number 216
_symmetry_space_group_name_Hall 'F -4 2 3'
loop_
_atom_site_label
_atom_site_type_symbol
_atom_site_fract_x
_atom_site_fract_y
_atom_site_fract_z
_atom_site_occupancy
Na1 Na 0.000 0.000 0.000 1
In1 In 0.000 0.000 0.500 1
Pd1 Pd 0.250 0.250 0.250 1
Rh1 Rh 0.250 0.250 0.750 1
```

(3)
Entry from Alexandria via LeMat-Bulk: crystalline NaIn4Pd2Rh at its relaxed geometry (PBE-GGA).

Calculated values
E   -4.093 eV per atom
Total moment   0.00 μB/f.u.
Calculated formation energy   -2.73 eV/f.u.

Structure (CIF):
```
data_NaIn4Pd2Rh
_cell_length_a 4.7615
_cell_length_b 4.7615
_cell_length_c 22.9396
_cell_angle_alpha 90.00
_cell_angle_beta 90.00
_cell_angle_gamma 120.00
_symmetry_space_group_name_H-M 'R -3 m'
_symmetry_Int_Tables_number 166
_symmetry_space_group_name_Hall '-R 3 2"'
loop_
_atom_site_label
_atom_site_type_symbol
_atom_site_fract_x
_atom_site_fract_y
_atom_site_fract_z
_atom_site_occupancy
Na1 Na 0.0000 0.0000 0.0000 1
In1 In 0.0000 0.0000 0.1324 1
In2 In 0.0000 0.0000 0.3801 1
Pd1 Pd 0.0000 0.0000 0.2554 1
Rh1 Rh 0.0000 0.0000 0.5000 1
```

(4)
Entry from Alexandria via LeMat-Bulk: crystalline NaInSbPd at its relaxed geometry (PBE-GGA).

Calculated values
E   -3.565 eV per atom
Total moment   0.00 μB/f.u.
Raw formation energy   -0.222 eV per atom

Structure (CIF):
```
data_NaInSbPd
_cell_length_a 6.984
_cell_length_b 6.984
_cell_length_c 6.984
_cell_angle_alpha 90.00
_cell_angle_beta 90.00
_cell_angle_gamma 90.00
_symmetry_space_group_name_H-M 'F -4 3 m'
_symmetry_Int_Tables_number 216
_symmetry_space_group_name_Hall 'F -4 2 3'
loop_
_atom_site_label
_atom_site_type_symbol
_atom_site_fract_x
_atom_site_fract_y
_atom_site_fract_z
_atom_site_occupancy
Na1 Na 0.000 0.000 0.000 1
In1 In 0.250 0.250 0.250 1
Sb1 Sb 0.250 0.250 0.750 1
Pd1 Pd 0.000 0.000 0.500 1
```

(5)
Entry from Alexandria via LeMat-Bulk: crystalline NaSmInPd at its relaxed geometry (PBE-GGA).

Calculated values
E   -3.882 eV per atom
Total moment   0.00 μB/f.u.
Calculated formation energy   -1.56 eV/f.u.

Structure (CIF):
```
data_NaSmInPd
_cell_length_a 7.068
_cell_length_b 7.068
_cell_length_c 7.068
_cell_angle_alpha 90.00
_cell_angle_beta 90.00
_cell_angle_gamma 90.00
_symmetry_space_group_name_H-M 'F -4 3 m'
_symmetry_Int_Tables_number 216
_symmetry_space_group_name_Hall 'F -4 2 3'
loop_
_atom_site_label
_atom_site_type_symbol
_atom_site_fract_x
_atom_site_fract_y
_atom_site_fract_z
_atom_site_occupancy
Na1 Na 0.000 0.000 0.000 1
Sm1 Sm 0.250 0.250 0.750 1
In1 In 0.250 0.250 0.250 1
Pd1 Pd 0.000 0.000 0.500 1
```

(6)
Entry from Alexandria via LeMat-Bulk: crystalline NaInSn4Pd2 at its relaxed geometry (PBE-GGA).

Calculated values
E   -3.920 eV per atom
Total moment   0.00 μB/f.u.
Calculated formation energy   -0.91 eV/f.u.

Structure (CIF):
```
data_NaInSn4Pd2
_cell_length_a 4.287
_cell_length_b 4.287
_cell_length_c 11.489
_cell_angle_alpha 90.00
_cell_angle_beta 90.00
_cell_angle_gamma 90.00
_symmetry_space_group_name_H-M 'P 4/m m m'
_symmetry_Int_Tables_number 123
_symmetry_space_group_name_Hall '-P 4 2'
loop_
_atom_site_label
_atom_site_type_symbol
_atom_site_fract_x
_atom_site_fract_y
_atom_site_fract_z
_atom_site_occupancy
Na1 Na 0.000 0.000 0.000 1
In1 In 0.000 0.000 0.500 1
Sn1 Sn 0.000 0.500 0.230 1
Pd1 Pd 0.500 0.500 0.383 1
```

(7)
Entry from Alexandria via LeMat-Bulk: crystalline NaInSnPd at its relaxed geometry (PBE-GGA).

Calculated values
E   -3.550 eV per atom
Total moment   0.00 μB/f.u.
Calculated formation energy   -0.95 eV/f.u.
Energy above the most stable polymorph in this dataset   92 meV per atom

Structure (CIF):
```
data_NaInSnPd
_cell_length_a 6.902
_cell_length_b 6.902
_cell_length_c 6.902
_cell_angle_alpha 90.00
_cell_angle_beta 90.00
_cell_angle_gamma 90.00
_symmetry_space_group_name_H-M 'F -4 3 m'
_symmetry_Int_Tables_number 216
_symmetry_space_group_name_Hall 'F -4 2 3'
loop_
_atom_site_label
_atom_site_type_symbol
_atom_site_fract_x
_atom_site_fract_y
_atom_site_fract_z
_atom_site_occupancy
Na1 Na 0.000 0.000 0.000 1
In1 In 0.250 0.250 0.750 1
Sn1 Sn 0.250 0.250 0.250 1
Pd1 Pd 0.000 0.000 0.500 1
```

(8)
Entry from Alexandria via LeMat-Bulk: crystalline NaIn4SnPd2 at its relaxed geometry (PBE-GGA).

Calculated values
E   -3.417 eV per atom
Total moment   0.00 μB/f.u.
Calculated formation energy   -0.68 eV/f.u.

Structure (CIF):
```
data_NaIn4SnPd2
_cell_length_a 4.226
_cell_length_b 4.226
_cell_length_c 11.557
_cell_angle_alpha 90.00
_cell_angle_beta 90.00
_cell_angle_gamma 90.00
_symmetry_space_group_name_H-M 'P 4/m m m'
_symmetry_Int_Tables_number 123
_symmetry_space_group_name_Hall '-P 4 2'
loop_
_atom_site_label
_atom_site_type_symbol
_atom_site_fract_x
_atom_site_fract_y
_atom_site_fract_z
_atom_site_occupancy
Na1 Na 0.000 0.000 0.000 1
In1 In 0.000 0.500 0.231 1
Sn1 Sn 0.000 0.000 0.500 1
Pd1 Pd 0.500 0.500 0.386 1
```